[1]
The following is a DFT calculation (PBE) of crystalline RbSb6Pd12 at its relaxed geometry.

Cell and atoms, written as POSCAR:
```
RbSb6Pd12
1.0
6.052 3.494 3.142
-6.052 3.494 3.142
0.000 -6.988 3.142
Rb Sb Pd
1 6 12
Cartesian
0.000 0.000 0.000
0.000 -2.970 3.716
-2.572 1.485 3.716
-2.572 -1.485 5.710
2.572 1.485 3.716
2.572 -1.485 5.710
0.000 2.970 5.710
-2.287 -3.961 4.713
-4.574 0.000 4.713
-1.778 -1.027 3.143
1.778 -1.027 3.143
0.000 2.053 3.143
2.287 -3.961 4.713
-2.287 3.961 4.713
0.000 -2.053 6.283
-1.778 1.027 6.283
1.778 1.027 6.283
4.574 0.000 4.713
2.287 3.961 4.713
```

- M_tot: 0.0 μB per formula unit
- ΔE_f (raw): -0.34 eV per atom
- E: -4.971 eV per atom

[2]
The following is a DFT calculation (PBE) of crystalline RbSbPd at its relaxed geometry.

Cell and atoms, written as POSCAR:
```
RbSbPd
1.0
-1.864 1.864 6.414
1.864 -1.864 6.414
1.864 1.864 -6.414
Rb Sb Pd
1 1 1
Cartesian
0.000 0.000 0.000
0.000 0.000 9.203
0.000 0.000 3.579
```

- M_tot: 0.0 μB per formula unit
- ΔE_f (raw): -0.35 eV per atom
- E: -3.774 eV per atom
- E above lowest polymorph: 9.59 kJ/mol of atoms

[3]
The following is a DFT calculation (PBE) of crystalline RbSb2Pd at its relaxed geometry.

Cell and atoms, written as POSCAR:
```
RbSb2Pd
1.0
-2.567 4.884 9.056
2.567 -4.884 9.056
2.567 4.884 -9.056
Rb Sb Pd
4 8 4
Cartesian
0.000 0.000 3.593
0.000 2.424 0.000
0.000 7.344 0.000
0.000 0.000 14.519
2.567 0.000 1.399
2.567 -1.516 5.454
0.000 0.000 7.559
2.567 1.516 5.454
0.000 3.368 3.602
0.000 0.000 10.553
0.000 6.400 3.602
0.000 4.884 7.657
2.567 2.501 -2.796
2.567 2.501 2.796
0.000 2.383 6.260
0.000 2.383 11.852
```

- M_tot: 0.0 μB per formula unit
- ΔE_f (raw): -0.30 eV per atom
- E: -3.904 eV per atom
- E above lowest polymorph: 9.12 kJ/mol of atoms

[4]
The following is a DFT calculation (PBE) of crystalline RbSb4Pd6 at its relaxed geometry.

Cell and atoms, written as POSCAR:
```
RbSb4Pd6
1.0
7.747 0.000 0.000
-3.873 6.709 0.000
0.000 0.000 4.374
Rb Sb Pd
1 4 6
Cartesian
0.000 0.000 0.000
0.000 4.473 0.000
2.238 1.292 2.187
5.509 1.292 2.187
3.873 4.125 2.187
0.000 2.796 2.187
-1.452 5.311 2.187
3.873 0.545 0.000
2.408 3.082 0.000
1.452 5.311 2.187
5.339 3.082 0.000
```

- M_tot: 0.0 μB per formula unit
- ΔE_f (raw): -0.39 eV per atom
- E: -4.810 eV per atom

[5]
The following is a DFT calculation (PBE) of crystalline RbSbPd at its relaxed geometry.

Cell and atoms, written as POSCAR:
```
RbSbPd
1.0
5.208 0.000 0.000
0.000 5.208 0.000
0.000 0.000 6.860
Rb Sb Pd
2 2 2
Cartesian
1.302 1.302 0.816
3.906 3.906 6.044
1.302 3.906 3.430
3.906 1.302 3.430
1.302 1.302 4.276
3.906 3.906 2.584
```

- M_tot: 0.0 μB per formula unit
- ΔE_f (raw): -0.37 eV per atom
- E: -3.799 eV per atom
- E above lowest polymorph: 7.25 kJ/mol of atoms

[6]
The following is a DFT calculation (PBE) of crystalline Rb2SbPd2 at its relaxed geometry.

Cell and atoms, written as POSCAR:
```
Rb2SbPd2
1.0
7.014 0.000 0.000
0.000 7.014 0.000
0.000 0.000 5.789
Rb Sb Pd
4 2 4
Cartesian
1.245 2.262 0.000
2.262 5.769 0.000
4.752 1.245 0.000
5.769 4.752 0.000
0.000 0.000 2.894
3.507 3.507 2.894
0.989 4.496 2.894
2.517 0.989 2.894
4.496 6.024 2.894
6.024 2.517 2.894
```

- M_tot: 0.0 μB per formula unit
- ΔE_f (raw): -0.17 eV per atom
- E: -3.458 eV per atom
- E above lowest polymorph: 16.64 kJ/mol of atoms

[7]
The following is a DFT calculation (PBE) of crystalline RbSb3Pd3 at its relaxed geometry.

Cell and atoms, written as POSCAR:
```
RbSb3Pd3
1.0
3.771 2.177 8.673
-3.771 2.177 8.673
0.000 -4.354 8.673
Rb Sb Pd
2 6 6
Cartesian
0.000 0.000 4.171
0.000 0.000 21.847
-1.373 -1.866 10.284
-2.302 0.256 15.735
-0.929 2.122 10.284
0.929 -2.122 15.735
2.302 -0.256 10.284
1.373 1.866 15.735
-2.701 0.264 9.652
-1.579 -2.207 16.366
1.122 -2.471 9.652
-1.122 2.471 16.366
1.579 2.207 9.652
2.701 -0.264 16.366
```

- M_tot: 0.0 μB per formula unit
- ΔE_f (raw): -0.33 eV per atom
- E: -4.464 eV per atom

[8]
The following is a DFT calculation (PBE) of crystalline Rb3Sb4Pd at its relaxed geometry.

Cell and atoms, written as POSCAR:
```
Rb3Sb4Pd
1.0
7.067 0.000 0.000
0.000 13.822 0.000
0.000 0.000 6.267
Rb Sb Pd
6 8 2
Cartesian
1.767 0.096 1.028
1.767 3.455 3.358
1.767 6.814 1.028
5.300 7.007 5.239
5.300 10.366 2.909
5.300 13.725 5.239
0.199 10.366 6.095
1.767 8.657 4.113
1.767 12.075 4.113
3.334 10.366 6.095
3.733 3.455 0.172
5.300 1.746 2.154
5.300 5.165 2.154
6.867 3.455 0.172
1.767 10.366 2.014
5.300 3.455 4.252
```

- M_tot: 0.0 μB per formula unit
- ΔE_f (raw): -0.28 eV per atom
- E: -3.357 eV per atom

[9]
The following is a DFT calculation (PBE) of crystalline RbSb2Pd3 at its relaxed geometry.

Cell and atoms, written as POSCAR:
```
RbSb2Pd3
1.0
9.265 -2.297 0.000
9.265 2.297 0.000
-5.294 0.000 8.386
Rb Sb Pd
2 4 6
Cartesian
2.381 0.000 1.498
10.854 0.000 6.888
-1.218 0.000 5.096
8.489 0.000 1.233
4.745 0.000 7.153
14.453 0.000 3.290
-1.492 0.000 2.367
14.727 0.000 6.019
6.030 0.000 2.193
4.556 0.000 4.519
8.679 0.000 3.867
7.205 0.000 6.193
```

- M_tot: 0.0 μB per formula unit
- ΔE_f (raw): -0.35 eV per atom
- E: -4.482 eV per atom
- E above lowest polymorph: 7.45 kJ/mol of atoms

[10]
The following is a DFT calculation (PBE) of crystalline RbSbPd2 at its relaxed geometry.

Cell and atoms, written as POSCAR:
```
RbSbPd2
1.0
-4.074 4.074 3.812
4.074 -4.074 3.812
4.074 4.074 -3.812
Rb Sb Pd
2 2 4
Cartesian
0.000 0.000 0.000
0.000 4.074 1.906
4.074 0.000 1.906
0.000 0.000 3.812
2.037 -1.203 2.859
2.871 2.037 0.953
2.037 5.277 -0.953
1.203 2.037 4.765
```

- M_tot: 0.0 μB per formula unit
- ΔE_f (raw): 0.00 eV per atom
- E: -3.874 eV per atom

[11]
The following is a DFT calculation (PBE) of crystalline RbSb2Pd at its relaxed geometry.

Cell and atoms, written as POSCAR:
```
RbSb2Pd
1.0
-2.909 2.909 8.989
2.909 -2.909 8.989
2.909 2.909 -8.989
Rb Sb Pd
2 4 2
Cartesian
2.909 1.454 2.247
0.000 1.454 6.741
0.000 0.000 0.000
1.454 1.454 -4.494
1.454 -1.454 4.494
0.000 2.909 0.000
2.909 -1.454 6.741
0.000 4.363 2.247
```

- M_tot: 0.0 μB per formula unit
- ΔE_f (raw): -0.18 eV per atom
- E: -3.778 eV per atom
- E above lowest polymorph: 21.33 kJ/mol of atoms

[12]
The following is a DFT calculation (PBE) of crystalline Rb2Sb4Pd3 at its relaxed geometry.

Cell and atoms, written as POSCAR:
```
Rb2Sb4Pd3
1.0
0.000 5.155 9.030
3.063 0.000 9.030
3.063 5.155 0.000
Rb Sb Pd
2 4 3
Cartesian
3.063 5.155 3.190
3.063 5.155 14.870
3.063 3.447 6.994
3.063 3.447 11.066
3.063 6.864 6.994
3.063 6.864 11.066
1.531 2.578 0.000
1.531 2.578 9.030
3.063 5.155 9.030
```

- M_tot: 0.0 μB per formula unit
- ΔE_f (raw): -0.37 eV per atom
- E: -4.146 eV per atom

[13]
The following is a DFT calculation (PBE) of crystalline RbSb2Pd at its relaxed geometry.

Cell and atoms, written as POSCAR:
```
RbSb2Pd
1.0
0.000 3.732 3.732
3.732 0.000 3.732
3.732 3.732 0.000
Rb Sb Pd
1 2 1
Cartesian
0.000 0.000 0.000
1.866 1.866 1.866
5.598 5.598 5.598
3.732 3.732 3.732
```

- M_tot: 0.0 μB per formula unit
- ΔE_f (raw): 0.18 eV per atom
- E: -3.421 eV per atom
- E above lowest polymorph: 55.73 kJ/mol of atoms

[14]
The following is a DFT calculation (PBE) of crystalline RbSb2Pd at its relaxed geometry.

Cell and atoms, written as POSCAR:
```
RbSb2Pd
1.0
3.676 0.000 0.000
0.000 3.676 0.000
0.000 0.000 8.304
Rb Sb Pd
1 2 1
Cartesian
0.000 0.000 0.000
1.838 1.838 2.737
1.838 1.838 5.566
0.000 0.000 4.152
```

- M_tot: 0.0 μB per formula unit
- ΔE_f (raw): -0.21 eV per atom
- E: -3.813 eV per atom
- E above lowest polymorph: 17.95 kJ/mol of atoms

[15]
The following is a DFT calculation (PBE) of crystalline RbSb2Pd5 at its relaxed geometry.

Cell and atoms, written as POSCAR:
```
RbSb2Pd5
1.0
-2.112 3.761 5.425
2.112 -3.761 5.425
2.112 3.761 -5.425
Rb Sb Pd
1 2 5
Cartesian
0.000 0.000 0.000
2.112 0.000 2.818
0.000 3.761 2.608
2.112 2.359 -1.621
2.112 2.359 1.621
0.000 3.761 0.000
0.000 1.401 3.804
0.000 1.401 7.047
```

- M_tot: 0.0 μB per formula unit
- ΔE_f (raw): -0.33 eV per atom
- E: -4.723 eV per atom

[16]
The following is a DFT calculation (PBE) of crystalline RbSb2Pd2 at its relaxed geometry.

Cell and atoms, written as POSCAR:
```
RbSb2Pd2
1.0
6.886 0.000 0.000
-2.796 6.298 0.000
-2.240 -2.996 6.804
Rb Sb Pd
2 4 4
Cartesian
-0.709 1.671 1.695
2.559 1.631 5.109
-0.889 -0.689 4.876
2.812 -0.531 1.476
-0.962 3.832 5.328
2.739 3.991 1.928
-1.876 4.773 3.013
-0.750 1.440 6.420
2.601 1.861 0.384
3.726 -1.472 3.792
```

- M_tot: 0.0 μB per formula unit
- ΔE_f (raw): -0.43 eV per atom
- E: -4.350 eV per atom

[17]
The following is a DFT calculation (PBE) of crystalline Rb2Sb2Pd3 at its relaxed geometry.

Cell and atoms, written as POSCAR:
```
Rb2Sb2Pd3
1.0
6.714 -2.151 0.000
6.714 2.151 0.000
-4.601 0.000 7.042
Rb Sb Pd
2 2 3
Cartesian
0.418 0.000 1.778
8.407 0.000 5.264
-1.305 0.000 5.021
10.130 0.000 2.021
3.997 0.000 0.652
4.413 0.000 3.521
4.829 0.000 6.391
```

- M_tot: 0.0 μB per formula unit
- ΔE_f (raw): -0.43 eV per atom
- E: -4.111 eV per atom

[18]
The following is a DFT calculation (PBE) of crystalline RbScSbPd2 at its relaxed geometry.

Cell and atoms, written as POSCAR:
```
RbScSbPd2
1.0
4.930 0.000 0.000
0.000 4.930 0.000
0.000 0.000 5.801
Rb Sc Sb Pd
1 1 1 2
Cartesian
0.000 0.000 0.000
0.000 0.000 2.900
2.465 2.465 0.000
0.000 2.465 2.900
2.465 0.000 2.900
```

- M_tot: 0.0 μB per formula unit
- ΔE_f (raw): 0.56 eV per atom
- E: -3.798 eV per atom

[19]
The following is a DFT calculation (PBE) of crystalline Rb2SbPdSe4 at its relaxed geometry.

Cell and atoms, written as POSCAR:
```
Rb2SbPdSe4
1.0
0.000 7.388 11.081
3.540 0.000 11.081
3.540 7.388 0.000
Rb Sb Pd Se
4 2 2 8
Cartesian
2.655 5.541 1.045
4.425 9.235 6.586
2.655 5.541 15.577
4.425 9.235 21.117
2.655 5.541 8.311
4.425 9.235 13.852
0.885 1.847 2.770
6.195 12.930 19.392
2.679 3.375 3.827
4.401 7.069 9.367
2.631 7.707 3.827
2.631 3.375 12.795
4.449 11.401 9.367
4.449 7.069 18.336
2.679 7.707 12.795
4.401 11.401 18.336
```

- M_tot: 0.0 μB per formula unit
- ΔE_f (raw): -0.50 eV per atom
- E: -3.651 eV per atom

[20]
The following is a DFT calculation (PBE) of crystalline RbSbTe2Pd at its relaxed geometry.

Cell and atoms, written as POSCAR:
```
RbSbTe2Pd
1.0
5.666 0.000 0.000
0.000 5.666 0.000
0.000 0.000 5.119
Rb Sb Te Pd
1 1 2 1
Cartesian
0.000 0.000 0.000
2.833 2.833 0.000
0.000 2.833 2.559
2.833 0.000 2.559
2.833 2.833 2.559
```

- M_tot: 0.0 μB per formula unit
- ΔE_f (raw): -0.19 eV per atom
- E: -3.500 eV per atom
- E above lowest polymorph: 0.00 kJ/mol of atoms